Below is a relaxed Ca2PmGa3Pt4 crystal, with properties calculated at the PBE level.

CIF file:
```
data_Ca2PmGa3Pt4
_chemical_formula_sum 'Ca2 Pm1 Ga3 Pt4'
_symmetry_space_group_name_H-M 'P 1'
_symmetry_Int_Tables_number 1
_symmetry_space_group_name_Hall 'P 1'
_cell_length_a 4.2650
_cell_length_b 4.2650
_cell_length_c 11.5433
_cell_angle_alpha 90.00
_cell_angle_beta 90.00
_cell_angle_gamma 90.00
loop_
_atom_site_label
_atom_site_type_symbol
_atom_site_fract_x
_atom_site_fract_y
_atom_site_fract_z
Ca1 Ca 0.0000 0.5000 0.2251
Ca2 Ca 0.5000 0.0000 0.7749
Pm1 Pm 0.0000 0.0000 0.5000
Ga1 Ga 0.0000 0.5000 0.8765
Ga2 Ga 0.5000 0.0000 0.1235
Ga3 Ga 0.5000 0.5000 0.5000
Pt1 Pt 0.0000 0.0000 0.0000
Pt2 Pt 0.0000 0.5000 0.6612
Pt3 Pt 0.5000 0.0000 0.3388
Pt4 Pt 0.5000 0.5000 0.0000
```

Summary:
space group	No. 115
ΔE_f	-0.87	eV/atom

Below is a relaxed Ca2Pm2GaRh4 crystal, with properties calculated at the PBE level.

CIF file:
```
data_Ca2Pm2GaRh4
_chemical_formula_sum 'Ca2 Pm2 Ga1 Rh4'
_symmetry_space_group_name_H-M 'P 1'
_symmetry_Int_Tables_number 1
_symmetry_space_group_name_Hall 'P 1'
_cell_length_a 6.4923
_cell_length_b 6.4923
_cell_length_c 6.4923
_cell_angle_alpha 118.47
_cell_angle_beta 118.47
_cell_angle_gamma 92.66
loop_
_atom_site_label
_atom_site_type_symbol
_atom_site_fract_x
_atom_site_fract_y
_atom_site_fract_z
Ca1 Ca 0.2500 0.7500 0.5000
Ca2 Ca 0.7500 0.2500 0.5000
Pm1 Pm 0.1862 0.1862 0.0000
Pm2 Pm 0.8138 0.8138 0.0000
Ga1 Ga 0.5000 0.5000 0.0000
Rh1 Rh 0.2398 0.2398 0.4795
Rh2 Rh 0.2398 0.7602 0.0000
Rh3 Rh 0.7602 0.2398 0.0000
Rh4 Rh 0.7602 0.7602 0.5205
```

Summary:
space group	No. 139
ΔE_f	-0.35	eV/atom

Below is a relaxed CaPmGaRu crystal, with properties calculated at the PBE level.

CIF file:
```
data_CaPmGaRu
_chemical_formula_sum 'Ca1 Pm1 Ga1 Ru1'
_symmetry_space_group_name_H-M 'P 1'
_symmetry_Int_Tables_number 1
_symmetry_space_group_name_Hall 'P 1'
_cell_length_a 5.0174
_cell_length_b 5.0174
_cell_length_c 5.0174
_cell_angle_alpha 60.00
_cell_angle_beta 60.00
_cell_angle_gamma 60.00
loop_
_atom_site_label
_atom_site_type_symbol
_atom_site_fract_x
_atom_site_fract_y
_atom_site_fract_z
Ca1 Ca 0.0000 0.0000 0.0000
Pm1 Pm 0.5000 0.5000 0.5000
Ga1 Ga 0.2500 0.2500 0.2500
Ru1 Ru 0.7500 0.7500 0.7500
```

Summary:
space group	No. 216
ΔE_f	-0.17	eV/atom

no.,raw total energy (Ry per atom)
1,-0.37235
2,-0.40097
3,-0.36232